Crystalline ScBeO2F at its relaxed geometry, computed with PBE.

```
data_ScBeO2F
_chemical_formula_sum 'Sc1 Be1 O2 F1'
_cell_length_a 3.586
_cell_length_b 3.586
_cell_length_c 3.271
_cell_angle_alpha 90.00
_cell_angle_beta 90.00
_cell_angle_gamma 90.00
_space_group_name_H-M_alt 'P 1'
_space_group_IT_number 1
loop_
_space_group_symop_operation_xyz
'x,y,z'
loop_
_atom_site_label
_atom_site_type_symbol
_atom_site_fract_x
_atom_site_fract_y
_atom_site_fract_z
Sc1 Sc 0.000 0.000 0.000
Be1 Be 0.500 0.500 0.500
O1 O 0.000 0.500 0.500
O2 O 0.500 0.000 0.500
F1 F 0.500 0.500 0.000
```

Results
* space group: No. 123
* uncorrected energy: -35.45 eV/cell
* formation energy from raw total energies: -263 kJ per mole of atoms

---

Crystalline CeReO4 at its relaxed geometry, computed with PBE.

```
data_CeReO4
_chemical_formula_sum 'Ce4 Re4 O16'
_cell_length_a 7.904
_cell_length_b 5.399
_cell_length_c 7.733
_cell_angle_alpha 90.00
_cell_angle_beta 102.84
_cell_angle_gamma 90.00
_space_group_name_H-M_alt 'P 1'
_space_group_IT_number 1
loop_
_space_group_symop_operation_xyz
'x,y,z'
loop_
_atom_site_label
_atom_site_type_symbol
_atom_site_fract_x
_atom_site_fract_y
_atom_site_fract_z
Ce1 Ce 0.138 0.221 0.403
Ce2 Ce 0.138 0.279 0.903
Ce3 Ce 0.862 0.721 0.097
Ce4 Ce 0.862 0.779 0.597
Re1 Re 0.333 0.738 0.206
Re2 Re 0.333 0.762 0.706
Re3 Re 0.667 0.238 0.294
Re4 Re 0.667 0.262 0.794
O1 O 0.119 0.508 0.177
O2 O 0.119 0.992 0.677
O3 O 0.153 0.001 0.130
O4 O 0.153 0.499 0.630
O5 O 0.310 0.647 0.948
O6 O 0.310 0.853 0.448
O7 O 0.483 0.033 0.776
O8 O 0.483 0.467 0.276
O9 O 0.517 0.533 0.724
O10 O 0.517 0.967 0.224
O11 O 0.690 0.147 0.552
O12 O 0.690 0.353 0.052
O13 O 0.847 0.501 0.370
O14 O 0.847 0.999 0.870
O15 O 0.881 0.008 0.323
O16 O 0.881 0.492 0.823
```

Results
* space group: No. 14
* uncorrected energy: -209.09 eV/cell
* formation energy from raw total energies: -226 kJ per mole of atoms

---

Crystalline Na2CeGeS4 at its relaxed geometry, computed with PBE.

```
data_Na2CeGeS4
_chemical_formula_sum 'Na2 Ce1 Ge1 S4'
_cell_length_a 6.922
_cell_length_b 4.025
_cell_length_c 6.940
_cell_angle_alpha 90.00
_cell_angle_beta 108.90
_cell_angle_gamma 90.00
_space_group_name_H-M_alt 'P 1'
_space_group_IT_number 1
loop_
_space_group_symop_operation_xyz
'x,y,z'
loop_
_atom_site_label
_atom_site_type_symbol
_atom_site_fract_x
_atom_site_fract_y
_atom_site_fract_z
Na1 Na 0.000 0.000 0.000
Na2 Na 0.000 0.500 0.500
Ce1 Ce 0.500 0.000 0.500
Ge1 Ge 0.500 0.500 0.000
S1 S 0.275 0.500 0.257
S2 S 0.279 0.000 0.756
S3 S 0.721 0.000 0.244
S4 S 0.725 0.500 0.743
```

Results
* space group: No. 10
* uncorrected energy: -39.36 eV/cell
* formation energy from raw total energies: -116 kJ per mole of atoms